(1)
DFT (PBE-GGA) results for a relaxed structure of RbZnP.

a b c (Å): 3.6198 3.6198 12.1853
angles (deg): 90.00 90.00 90.00
With the nearest neighbours (Å) after each atom.
Space group I4mm (No. 107)
Symmetry-distinct sites (fractional):
Rb  0.0000  0.0000  0.0000 x2  1 Zn 3.11, 1 P 3.29
Zn  0.0000  0.0000  0.2551 x2  4 P 2.58
P  0.0000  0.0000  0.7296 x2  4 Zn 2.58

## Properties
- Magnetic moment: 0.000 μB/f.u.
- E_tot: -15.19 eV/cell

(2)
DFT (PBE-GGA) results for a relaxed structure of MnV2HOs.

a b c (Å): 4.0651 4.0651 3.2700
angles (deg): 90.00 90.00 90.00
With the nearest neighbours (Å) after each atom.
Space group P4/mmm (No. 123)
Symmetry-distinct sites (fractional):
Mn  0.0000  0.0000  0.0000 x1  2 H 1.63
V  0.0000  0.5000  0.5000 x2  2 H 2.03
H  0.0000  0.0000  0.5000 x1  2 Mn 1.63
Os  0.5000  0.5000  0.0000 x1  8 V 2.61, 4 Mn 2.87

## Properties
- Magnetic moment: 0.001 μB/f.u.
- E_tot: -42.56 eV/cell

(3)
DFT (PBE-GGA) results for a relaxed structure of Ta2Ga2Rh3.

a b c (Å): 7.6605 4.4253 7.3889
angles (deg): 90.00 109.99 90.00
With the nearest neighbours (Å) after each atom.
Space group C2/m (No. 12)
Symmetry-distinct sites (fractional):
Ta  0.1146  0.0000  0.3438 x4  7 Rh 2.60-2.78
Ga  0.1291  0.5000  0.8889 x4  5 Rh 2.65-2.79
Rh  0.0000  0.5000  0.5000 x2  2 Ga 2.70, 6 Ta 2.77-2.78, 6 Rh 3.01
Rh  0.2425  0.0000  0.7293 x4  4 Ta 2.60-2.68, 4 Ga 2.65-2.79

## Properties
- Magnetic moment: 0.013 μB/f.u.
- E_tot: -109.12 eV/cell

(4)
DFT (PBE-GGA) results for a relaxed structure of SnHPtRh2.

a b c (Å): 3.9439 3.9439 4.2802
angles (deg): 90.00 90.00 90.00
With the nearest neighbours (Å) after each atom.
Space group P4/mmm (No. 123)
Symmetry-distinct sites (fractional):
Sn  0.0000  0.0000  0.0000 x1  2 H 2.14
H  0.0000  0.0000  0.5000 x1  4 Rh 1.97, 2 Sn 2.14
Pt  0.5000  0.5000  0.0000 x1  4 Sn 2.79, 8 Rh 2.91
Rh  0.0000  0.5000  0.5000 x2  2 H 1.97

## Properties
- Magnetic moment: 0.000 μB/f.u.
- E_tot: -28.60 eV/cell

(5)
DFT (PBE-GGA) results for a relaxed structure of Ti5PO11.

a b c (Å): 7.6067 13.9613 9.9229
angles (deg): 90.00 129.58 90.00
With the nearest neighbours (Å) after each atom.
Space group P2_1/c (No. 14)
Symmetry-distinct sites (fractional):
Ti  0.0108  0.1528  0.1543 x4  3 O 1.76-1.97
Ti  0.2398  0.1724  0.5391 x4  6 O 1.93-2.15
Ti  0.2725  0.6759  0.1995 x4  6 O 1.93-2.15
Ti  0.4439  0.0042  0.2118 x4  4 O 1.88-2.02
Ti  0.4575  0.1683  0.9090 x4  6 O 1.90-2.12
P  0.2546  0.6205  0.8725 x4  3 O 1.62-1.70
O  0.0076  0.7451  0.9940 x4  3 Ti 1.97-1.99
O  0.0241  0.6096  0.1754 x4  3 Ti 1.97-1.98
O  0.2023  0.0685  0.1792 x4  2 Ti 1.76-1.88
O  0.2416  0.2409  0.3671 x4  3 Ti 1.90-2.08
O  0.2712  0.5924  0.5342 x4  3 Ti 1.92-2.05
O  0.2824  0.7415  0.8869 x4  1 P 1.70
O  0.2928  0.0811  0.7129 x4  3 Ti 1.93-2.02
O  0.3214  0.5954  0.0642 x4  1 P 1.66
O  0.4824  0.5888  0.9028 x4  1 P 1.62
O  0.4826  0.2431  0.7444 x4  3 Ti 1.93-2.05
O  0.4857  0.0941  0.0895 x4  3 Ti 1.91-2.04

## Properties
- Magnetic moment: 0.190 μB/f.u.
- E_tot: -586.60 eV/cell
- Formation energy from raw total energies: -268.0 kJ/mol of atoms

(6)
DFT (PBE-GGA) results for a relaxed structure of Te2HPbN.

a b c (Å): 4.4243 4.4243 5.8670
angles (deg): 90.00 90.00 90.00
With the nearest neighbours (Å) after each atom.
Space group P4/mmm (No. 123)
Symmetry-distinct sites (fractional):
Te  0.0000  0.5000  0.0000 x2  2 H 2.21
H  0.0000  0.0000  0.0000 x1  4 Te 2.21
Pb  0.5000  0.5000  0.5000 x1  4 N 3.13
N  0.0000  0.0000  0.5000 x1  2 H 2.93, 4 Pb 3.13

## Properties
- Magnetic moment: 1.921 μB/f.u.
- E_tot: -16.25 eV/cell

(7)
DFT (PBE-GGA) results for a relaxed structure of Ba12Sn3F5.

a b c (Å): 18.4192 18.4192 18.4192
angles (deg): 90.00 90.00 90.00
With the nearest neighbours (Å) after each atom.
Space group Ia-3d (No. 230)
Symmetry-distinct sites (fractional):
Ba  0.0339  0.0566  0.6537 x96  1 F 2.66
Sn  0.0000  0.2500  0.1250 x24  8 Ba 3.58-3.65
F  0.0000  0.0000  0.0000 x16  6 Ba 3.08
F  0.0000  0.2500  0.3750 x24  4 Ba 2.66

## Properties
- Magnetic moment: 4.826 μB/f.u.
- E_tot: -608.50 eV/cell
- Formation energy from raw total energies: -152.6 kJ/mol of atoms

(8)
DFT (PBE-GGA) results for a relaxed structure of Rb3Te3Pd2.

a b c (Å): 4.8408 13.2923 16.6713
angles (deg): 90.00 90.00 90.00
With the nearest neighbours (Å) after each atom.
Space group Cmcm (No. 63)
Symmetry-distinct sites (fractional):
Rb  0.0000  0.0708  0.1089 x8  4 Pd 3.61-4.00, 7 Te 3.70-4.03
Rb  0.0000  0.3825  0.2500 x4  4 Te 3.47-3.51, 4 Pd 3.87
Te  0.0000  0.3088  0.7500 x4  2 Pd 2.84
Te  0.0000  0.3419  0.0443 x8  3 Pd 2.72
Pd  0.0000  0.2291  0.5918 x8  4 Te 2.72-2.84

## Properties
- Magnetic moment: 0.000 μB/f.u.
- E_tot: -110.57 eV/cell
- Formation energy from raw total energies: -59.4 kJ/mol of atoms

(9)
DFT (PBE-GGA) results for a relaxed structure of HfZrBi.

a b c (Å): 4.6037 3.8601 8.0530
angles (deg): 90.00 90.14 90.00
With the nearest neighbours (Å) after each atom.
Space group P2_1/m (No. 11)
Symmetry-distinct sites (fractional):
Hf  0.2502  0.2500  0.0173 x2  4 Hf 3.02, 4 Bi 3.07-3.12, 2 Zr 3.28
Zr  0.2518  0.7500  0.3462 x2  5 Bi 3.02-3.05, 2 Hf 3.28
Bi  0.2486  0.7500  0.7214 x2  5 Zr 3.02-3.05, 4 Hf 3.07-3.12

## Properties
- Magnetic moment: 0.000 μB/f.u.
- E_tot: -45.96 eV/cell

(10)
DFT (PBE-GGA) results for a relaxed structure of Pm2Er5Cd.

a b c (Å): 6.6140 6.6144 7.0706
angles (deg): 105.50 105.11 115.77
With the nearest neighbours (Å) after each atom.
Space group P1 (No. 1)
Symmetry-distinct sites (fractional):
Pm  0.0000  0.0000  0.0000 x1  10 Er 3.38-3.58, 1 Cd 3.41, 1 Pm 3.51
Pm  0.1078  0.5819  0.6877 x1  9 Er 3.43-3.65, 1 Pm 3.51, 2 Cd 3.51-3.53
Er  0.0145  0.9888  0.5045 x1  2 Cd 3.43-3.45, 6 Er 3.45-3.56, 4 Pm 3.49-3.56
Er  0.1130  0.5837  0.1748 x1  6 Er 3.36-3.67, 4 Pm 3.38-3.64, 2 Cd 3.41-3.66
Er  0.5167  0.4893  0.5046 x1  2 Cd 3.42-3.46, 6 Er 3.45-3.56, 4 Pm 3.49-3.57
Er  0.5274  0.4728  0.0003 x1  1 Cd 3.34, 8 Er 3.41-3.56, 3 Pm 3.53-3.54
Er  0.5907  0.0615  0.1750 x1  6 Er 3.36-3.67, 4 Pm 3.39-3.65, 2 Cd 3.41-3.66
Cd  0.5899  0.0686  0.6586 x1  9 Er 3.34-3.66, 3 Pm 3.41-3.53

## Properties
- Magnetic moment: 0.000 μB/f.u.
- E_tot: -33.57 eV/cell

(11)
DFT (PBE-GGA) results for a relaxed structure of PuCdBi2.

a b c (Å): 4.9893 4.9893 4.4608
angles (deg): 90.00 90.00 90.00
With the nearest neighbours (Å) after each atom.
Space group P4/mmm (No. 123)
Symmetry-distinct sites (fractional):
Pu  0.0000  0.0000  0.0000 x1  8 Bi 3.35, 4 Cd 3.53
Cd  0.5000  0.5000  0.0000 x1  8 Bi 3.35, 4 Pu 3.53
Bi  0.0000  0.5000  0.5000 x2  4 Cd 3.35, 4 Pu 3.35, 4 Bi 3.53

## Properties
- Magnetic moment: 5.521 μB/f.u.
- E_tot: -24.03 eV/cell

(12)
DFT (PBE-GGA) results for a relaxed structure of Mo2AsOs.

a b c (Å): 6.2536 6.2536 6.2536
angles (deg): 90.00 90.00 90.00
With the nearest neighbours (Å) after each atom.
Space group F-43m (No. 216)
Symmetry-distinct sites (fractional):
Mo  0.0000  0.0000  0.0000 x4  4 As 2.71, 4 Mo 2.71
Mo  0.2500  0.2500  0.2500 x4  4 Os 2.71, 4 Mo 2.71
As  0.2500  0.2500  0.7500 x4  4 Mo 2.71, 4 Os 2.71
Os  0.0000  0.0000  0.5000 x4  4 As 2.71, 4 Mo 2.71

## Properties
- Magnetic moment: 0.567 μB/f.u.
- E_tot: -144.95 eV/cell

Q: What is the magnetic moment in the seventh record?
A: 4.826 μB/f.u.

Q: Which formula does entry 1 have?
A: RbZnP